No. 1
Dy2SnF8, optimized geometry, DFT PBE; total energy = -6.1617 eV per atom; density of states at the Fermi level = 0.000 states/eV/atom
1.0
-1.060 2.734 -3.125
-0.155 -5.157 -3.485
-5.202 0.698 3.349
Dy F Sn
2 8 1
direct
0.000 0.679 0.321 Dy
0.000 0.321 0.679 Dy
0.500 0.247 0.753 F
0.923 0.947 0.672 F
0.711 0.379 0.379 F
0.077 0.053 0.328 F
0.289 0.621 0.621 F
0.077 0.328 0.053 F
0.500 0.753 0.247 F
0.923 0.672 0.947 F
0.500 0.000 0.000 Sn

---

No. 2
BeFe2Pt, optimized geometry, DFT PBE; calculated formation energy = -0.0632 eV/atom; density of states at the Fermi level = 0.525 states/eV/atom
1.0
8.238 0.021 0.012
7.809 2.623 0.012
7.809 1.287 2.286
Fe Be Pt
2 1 1
direct
0.253 0.253 0.253 Fe
0.007 0.007 0.007 Fe
0.748 0.748 0.748 Be
0.492 0.492 0.492 Pt

---

No. 3
NdSmTh2Bi5, optimized geometry, DFT PBE; calculated formation energy = 0.0930 eV/atom; density of states at the Fermi level = 0.549 states/eV/atom
1.0
-4.730 2.502 1.223
-1.525 -4.345 2.987
5.060 4.852 9.642
Sm Th Nd Bi
1 2 1 5
direct
0.000 0.000 0.500 Sm
0.500 0.500 0.697 Th
0.500 0.500 0.303 Th
0.000 0.000 0.000 Nd
0.500 0.500 0.000 Bi
0.000 0.000 0.751 Bi
0.000 0.500 0.500 Bi
0.500 0.000 0.500 Bi
0.000 0.000 0.249 Bi

---

No. 4
BeIBr2, optimized geometry, DFT PBE; total energy = -2.3873 eV per atom; density of states at the Fermi level = 4.567 states/eV/atom
1.0
-5.686 1.431 -0.497
-2.460 -4.146 -3.375
-2.929 -3.574 3.643
Br I Be
2 1 1
direct
0.846 0.846 0.846 Br
0.154 0.154 0.154 Br
0.500 0.500 0.500 I
0.000 0.000 0.000 Be

---

No. 5
AsRuSe2Cl, optimized geometry, DFT PBE; total energy = -3.0212 eV per atom; density of states at the Fermi level = 1.003 states/eV/atom
1.0
4.839 0.000 0.000
0.000 4.839 0.000
0.000 0.000 4.680
Se Ru Cl As
2 1 1 1
direct
0.500 0.000 0.000 Se
0.000 0.500 0.000 Se
0.500 0.500 0.500 Ru
0.000 0.000 0.000 Cl
0.000 0.000 0.500 As

---

No. 6
Pr9In3O2, optimized geometry, DFT PBE; total energy = -5.3846 eV per atom; density of states at the Fermi level = 0.639 states/eV/atom
1.0
7.165 0.000 0.000
-3.582 6.205 0.000
0.000 0.000 8.779
Pr O In
9 2 3
direct
0.500 0.000 0.000 Pr
0.662 0.831 0.669 Pr
0.169 0.338 0.669 Pr
0.831 0.662 0.331 Pr
0.169 0.831 0.669 Pr
0.338 0.169 0.331 Pr
0.500 0.500 0.000 Pr
0.000 0.500 0.000 Pr
0.831 0.169 0.331 Pr
0.333 0.667 0.841 O
0.667 0.333 0.159 O
0.667 0.333 0.667 In
0.333 0.667 0.333 In
0.000 0.000 0.000 In

---

No. 7
HfZr3Tc4, optimized geometry, DFT PBE; calculated formation energy = -0.3865 eV/atom; density of states at the Fermi level = 0.935 states/eV/atom
1.0
-1.291 -3.206 -3.111
4.292 -1.788 0.061
-3.253 -1.532 6.404
Tc Zr Hf
4 3 1
direct
0.624 0.624 0.249 Tc
0.124 0.124 0.249 Tc
0.876 0.876 0.751 Tc
0.376 0.376 0.751 Tc
0.000 0.500 0.000 Zr
0.251 0.751 0.501 Zr
0.749 0.249 0.499 Zr
0.500 0.000 0.000 Hf

---

No. 8
Y2Cd2Bi, optimized geometry, DFT PBE; calculated formation energy = -0.2443 eV/atom; density of states at the Fermi level = 0.816 states/eV/atom
1.0
-2.336 -4.889 6.036
0.029 -6.308 -5.099
4.349 -0.810 1.027
Cd Bi Y
4 2 4
direct
0.638 0.862 0.500 Cd
0.862 0.362 0.500 Cd
0.362 0.138 0.500 Cd
0.138 0.638 0.500 Cd
0.500 0.500 0.000 Bi
0.000 0.000 0.000 Bi
0.660 0.160 0.000 Y
0.840 0.660 0.000 Y
0.340 0.840 0.000 Y
0.160 0.340 0.000 Y

---

No. 9
BeHPd2, optimized geometry, DFT PBE; total energy = -4.6268 eV per atom; density of states at the Fermi level = 0.123 states/eV/atom
1.0
-2.169 0.004 1.914
-2.099 -1.982 -0.188
1.614 -4.203 4.024
H Pd Be
1 2 1
direct
0.680 0.680 0.960 H
0.067 0.067 0.799 Pd
0.256 0.256 0.232 Pd
0.497 0.497 0.509 Be

---

No. 10
PuAl2Ga, optimized geometry, DFT PBE; calculated formation energy = -0.2899 eV/atom; density of states at the Fermi level = 2.386 states/eV/atom
1.0
4.290 0.000 0.000
0.000 4.260 0.000
0.000 0.000 4.260
Al Pu Ga
2 1 1
direct
0.000 0.500 0.000 Al
0.000 0.000 0.500 Al
0.500 0.500 0.500 Pu
0.500 0.000 0.000 Ga

---

No. 11
Ni2Pt, optimized geometry, DFT PBE; calculated formation energy = -0.0554 eV/atom; density of states at the Fermi level = 1.567 states/eV/atom
1.0
-2.503 -3.694 0.670
0.948 -0.246 -8.251
4.212 -0.882 1.358
Ni Pt
8 4
direct
0.919 0.838 0.419 Ni
0.246 0.491 0.746 Ni
0.004 0.007 0.004 Ni
0.504 0.007 0.504 Ni
0.165 0.330 0.165 Ni
0.743 0.487 0.243 Ni
0.587 0.175 0.087 Ni
0.665 0.330 0.665 Ni
0.084 0.168 0.584 Pt
0.829 0.658 0.829 Pt
0.329 0.658 0.329 Pt
0.425 0.850 0.925 Pt

---

No. 12
MgZn6Au, optimized geometry, DFT PBE; calculated formation energy = -0.0369 eV/atom; density of states at the Fermi level = 0.400 states/eV/atom
1.0
-2.183 4.408 -1.282
-0.221 -1.519 -4.846
-4.585 -2.026 0.844
Zn Au Mg
6 1 1
direct
0.500 0.251 0.000 Zn
0.500 0.749 0.000 Zn
0.749 0.000 0.500 Zn
0.000 0.500 0.251 Zn
0.000 0.500 0.749 Zn
0.251 0.000 0.500 Zn
0.000 0.000 0.000 Au
0.500 0.500 0.500 Mg